# CsGe2I5 PBE optimized geometry
data_CsGe2I5
_chemical_formula_sum 'Cs4 Ge8 I20'
_cell_length_a 6.092
_cell_length_b 13.939
_cell_length_c 15.921
_cell_angle_alpha 90.00
_cell_angle_beta 90.00
_cell_angle_gamma 90.00
_symmetry_space_group_name_H-M 'C m c m'
_symmetry_Int_Tables_number 63
_symmetry_space_group_name_Hall '-C 2c 2'
loop_
_atom_site_label
_atom_site_type_symbol
_atom_site_fract_x
_atom_site_fract_y
_atom_site_fract_z
Cs1 Cs 0.000 0.004 0.250
Ge1 Ge 0.000 0.360 0.561
I1 I 0.000 0.159 0.045
I2 I 0.000 0.301 0.750
I3 I 0.000 0.443 0.112
# Formation energy without anion corrections, eV per formula unit: -4.83



# Cs4GeI7 PBE optimized geometry
data_Cs4GeI7
_chemical_formula_sum 'Cs8 Ge2 I14'
_cell_length_a 18.660
_cell_length_b 6.318
_cell_length_c 12.930
_cell_angle_alpha 90.00
_cell_angle_beta 117.65
_cell_angle_gamma 90.00
_symmetry_space_group_name_H-M 'C 1 2/m 1'
_symmetry_Int_Tables_number 12
_symmetry_space_group_name_Hall '-C 2y'
loop_
_atom_site_label
_atom_site_type_symbol
_atom_site_fract_x
_atom_site_fract_y
_atom_site_fract_z
Cs1 Cs 0.052 0.000 0.237
Cs2 Cs 0.225 0.000 0.808
Ge1 Ge 0.000 0.500 0.500
I1 I 0.000 0.000 0.500
I2 I 0.071 0.500 0.750
I3 I 0.152 0.000 0.045
I4 I 0.237 0.500 0.492
# Fermi-level density of states, states/eV/f.u.: 1.3
# Formation energy without anion corrections, eV per formula unit: -12.28



# Cs3GeI6 PBE optimized geometry
data_Cs3GeI6
_chemical_formula_sum 'Cs12 Ge4 I24'
_cell_length_a 16.766
_cell_length_b 21.471
_cell_length_c 6.614
_cell_angle_alpha 90.00
_cell_angle_beta 90.00
_cell_angle_gamma 90.00
_symmetry_space_group_name_H-M 'C m c 21'
_symmetry_Int_Tables_number 36
_symmetry_space_group_name_Hall 'C 2c -2'
loop_
_atom_site_label
_atom_site_type_symbol
_atom_site_fract_x
_atom_site_fract_y
_atom_site_fract_z
Cs1 Cs 0.000 0.116 0.000
Cs2 Cs 0.181 0.382 0.971
Ge1 Ge 0.000 0.292 0.369
I1 I 0.000 0.285 0.789
I2 I 0.000 0.427 0.333
I3 I 0.151 0.227 0.291
I4 I 0.162 0.001 0.734
# Fermi-level density of states, states/eV/f.u.: 3.9
# Energy relative to the lowest polymorph listed for this composition, meV/atom: 0
# Formation energy without anion corrections, eV per formula unit: -9.96



# CsGeI PBE optimized geometry
data_CsGeI
_chemical_formula_sum 'Cs4 Ge4 I4'
_cell_length_a 13.079
_cell_length_b 4.322
_cell_length_c 11.715
_cell_angle_alpha 90.00
_cell_angle_beta 117.60
_cell_angle_gamma 90.00
_symmetry_space_group_name_H-M 'C 1 m 1'
_symmetry_Int_Tables_number 8
_symmetry_space_group_name_Hall 'C -2y'
loop_
_atom_site_label
_atom_site_type_symbol
_atom_site_fract_x
_atom_site_fract_y
_atom_site_fract_z
Cs1 Cs 0.000 0.000 0.000
Cs2 Cs 0.039 0.000 0.556
Ge1 Ge 0.162 0.500 0.338
Ge2 Ge 0.265 0.000 0.419
I1 I 0.150 0.500 0.852
I2 I 0.426 0.000 0.235
# Energy relative to the lowest polymorph listed for this composition, meV/atom: 21
# Formation energy without anion corrections, eV per formula unit: -1.80



# Cs3Ge2I9 PBE optimized geometry
data_Cs3Ge2I9
_chemical_formula_sum 'Cs3 Ge2 I9'
_cell_length_a 8.3722
_cell_length_b 8.3722
_cell_length_c 10.2446
_cell_angle_alpha 90.00
_cell_angle_beta 90.00
_cell_angle_gamma 120.00
_symmetry_space_group_name_H-M 'P -3 m 1'
_symmetry_Int_Tables_number 164
_symmetry_space_group_name_Hall '-P 3 2"'
loop_
_atom_site_label
_atom_site_type_symbol
_atom_site_fract_x
_atom_site_fract_y
_atom_site_fract_z
Cs1 Cs 0.0000 0.0000 0.0000
Cs2 Cs 0.3333 0.6667 0.3313
Ge1 Ge 0.3333 0.6667 0.8180
I1 I 0.0000 0.5000 0.0000
I2 I 0.1733 0.3466 0.6728
# Fermi-level density of states, states/eV/f.u.: 2.8
# Formation energy without anion corrections, eV per formula unit: -11.21



# CsGe2I6 PBE optimized geometry
data_CsGe2I6
_chemical_formula_sum 'Cs1 Ge2 I6'
_cell_length_a 7.5992
_cell_length_b 7.5992
_cell_length_c 8.8699
_cell_angle_alpha 90.00
_cell_angle_beta 90.00
_cell_angle_gamma 120.00
_symmetry_space_group_name_H-M 'P -3 1 m'
_symmetry_Int_Tables_number 162
_symmetry_space_group_name_Hall '-P 3 2'
loop_
_atom_site_label
_atom_site_type_symbol
_atom_site_fract_x
_atom_site_fract_y
_atom_site_fract_z
Cs1 Cs 0.0000 0.0000 0.0000
Ge1 Ge 0.3333 0.6667 0.5000
I1 I 0.0000 0.3726 0.6970
# Fermi-level density of states, states/eV/f.u.: 13.6
# Formation energy without anion corrections, eV per formula unit: -4.50



# CsGeI PBE optimized geometry
data_CsGeI
_chemical_formula_sum 'Cs4 Ge4 I4'
_cell_length_a 25.817
_cell_length_b 4.270
_cell_length_c 4.895
_cell_angle_alpha 90.00
_cell_angle_beta 95.84
_cell_angle_gamma 90.00
_symmetry_space_group_name_H-M 'C 1 m 1'
_symmetry_Int_Tables_number 8
_symmetry_space_group_name_Hall 'C -2y'
loop_
_atom_site_label
_atom_site_type_symbol
_atom_site_fract_x
_atom_site_fract_y
_atom_site_fract_z
Cs1 Cs 0.000 0.000 0.000
Cs2 Cs 0.181 0.000 0.097
Ge1 Ge 0.365 0.500 0.512
Ge2 Ge 0.402 0.000 0.377
I1 I 0.089 0.500 0.548
I2 I 0.263 0.500 0.638
# Fermi-level density of states, states/eV/f.u.: 0.4
# Energy relative to the lowest polymorph listed for this composition, meV/atom: 0
# Formation energy without anion corrections, eV per formula unit: -1.86



# Cs2GeI7 PBE optimized geometry
data_Cs2GeI7
_chemical_formula_sum 'Cs4 Ge2 I14'
_cell_length_a 8.835
_cell_length_b 8.835
_cell_length_c 12.136
_cell_angle_alpha 90.00
_cell_angle_beta 90.00
_cell_angle_gamma 90.00
_symmetry_space_group_name_H-M 'I 4/m m m'
_symmetry_Int_Tables_number 139
_symmetry_space_group_name_Hall '-I 4 2'
loop_
_atom_site_label
_atom_site_type_symbol
_atom_site_fract_x
_atom_site_fract_y
_atom_site_fract_z
Cs1 Cs 0.000 0.500 0.250
Ge1 Ge 0.000 0.000 0.000
I1 I 0.000 0.000 0.235
I2 I 0.000 0.000 0.500
I3 I 0.228 0.228 0.000
# Fermi-level density of states, states/eV/f.u.: 4.9
# Formation energy without anion corrections, eV per formula unit: -6.64



# Cs2GeI PBE optimized geometry
data_Cs2GeI
_chemical_formula_sum 'Cs8 Ge4 I4'
_cell_length_a 8.742
_cell_length_b 8.742
_cell_length_c 17.460
_cell_angle_alpha 90.00
_cell_angle_beta 90.00
_cell_angle_gamma 90.00
_symmetry_space_group_name_H-M 'I -4 2 d'
_symmetry_Int_Tables_number 122
_symmetry_space_group_name_Hall 'I -4 2bw'
loop_
_atom_site_label
_atom_site_type_symbol
_atom_site_fract_x
_atom_site_fract_y
_atom_site_fract_z
Cs1 Cs 0.250 0.250 0.125
Ge1 Ge 0.000 0.000 0.000
I1 I 0.000 0.000 0.500
# Fermi-level density of states, states/eV/f.u.: 0.0
# Energy relative to the lowest polymorph listed for this composition, meV/atom: 77
# Formation energy without anion corrections, eV per formula unit: -1.35



# Cs3Ge2I7 PBE optimized geometry
data_Cs3Ge2I7
_chemical_formula_sum 'Cs6 Ge4 I14'
_cell_length_a 6.022
_cell_length_b 30.906
_cell_length_c 5.941
_cell_angle_alpha 90.00
_cell_angle_beta 90.00
_cell_angle_gamma 90.00
_symmetry_space_group_name_H-M 'C m m m'
_symmetry_Int_Tables_number 65
_symmetry_space_group_name_Hall '-C 2 2'
loop_
_atom_site_label
_atom_site_type_symbol
_atom_site_fract_x
_atom_site_fract_y
_atom_site_fract_z
Cs1 Cs 0.000 0.000 0.000
Cs2 Cs 0.000 0.181 0.000
Ge1 Ge 0.000 0.399 0.500
I1 I 0.000 0.097 0.500
I2 I 0.000 0.303 0.500
I3 I 0.000 0.403 0.000
I4 I 0.000 0.500 0.500
# Energy relative to the lowest polymorph listed for this composition, meV/atom: 13
# Formation energy without anion corrections, eV per formula unit: -11.19



# CsGe3I PBE optimized geometry
data_CsGe3I
_chemical_formula_sum 'Cs1 Ge3 I1'
_cell_length_a 6.058
_cell_length_b 6.058
_cell_length_c 6.058
_cell_angle_alpha 90.00
_cell_angle_beta 90.00
_cell_angle_gamma 90.00
_symmetry_space_group_name_H-M 'P m -3 m'
_symmetry_Int_Tables_number 221
_symmetry_space_group_name_Hall '-P 4 2 3'
loop_
_atom_site_label
_atom_site_type_symbol
_atom_site_fract_x
_atom_site_fract_y
_atom_site_fract_z
Cs1 Cs 0.000 0.000 0.000
Ge1 Ge 0.000 0.000 0.500
I1 I 0.500 0.500 0.500
# Fermi-level density of states, states/eV/f.u.: 5.6
# Energy relative to the lowest polymorph listed for this composition, meV/atom: 855
# Formation energy without anion corrections, eV per formula unit: 8.34



# CsGeI PBE optimized geometry
data_CsGeI
_chemical_formula_sum 'Cs2 Ge2 I2'
_cell_length_a 6.357
_cell_length_b 6.614
_cell_length_c 7.999
_cell_angle_alpha 79.88
_cell_angle_beta 75.90
_cell_angle_gamma 78.40
_symmetry_space_group_name_H-M 'P -1'
_symmetry_Int_Tables_number 2
_symmetry_space_group_name_Hall '-P 1'
loop_
_atom_site_label
_atom_site_type_symbol
_atom_site_fract_x
_atom_site_fract_y
_atom_site_fract_z
Cs1 Cs 0.201 0.211 0.264
Ge1 Ge 0.389 0.653 0.451
I1 I 0.230 0.212 0.767
# Energy relative to the lowest polymorph listed for this composition, meV/atom: 83
# Formation energy without anion corrections, eV per formula unit: -1.61



# Cs2Ge3I8 PBE optimized geometry
data_Cs2Ge3I8
_chemical_formula_sum 'Cs4 Ge6 I16'
_cell_length_a 18.565
_cell_length_b 8.936
_cell_length_c 7.848
_cell_angle_alpha 90.00
_cell_angle_beta 106.58
_cell_angle_gamma 90.00
_symmetry_space_group_name_H-M 'C 1 2/m 1'
_symmetry_Int_Tables_number 12
_symmetry_space_group_name_Hall '-C 2y'
loop_
_atom_site_label
_atom_site_type_symbol
_atom_site_fract_x
_atom_site_fract_y
_atom_site_fract_z
Cs1 Cs 0.242 0.000 0.178
Ge1 Ge 0.000 0.243 0.500
Ge2 Ge 0.000 0.500 0.000
I1 I 0.093 0.262 0.887
I2 I 0.097 0.500 0.386
I3 I 0.100 0.000 0.449
# Fermi-level density of states, states/eV/f.u.: 0.0
# Formation energy without anion corrections, eV per formula unit: -8.89



# CsGeI PBE optimized geometry
data_CsGeI
_chemical_formula_sum 'Cs4 Ge4 I4'
_cell_length_a 4.288
_cell_length_b 20.155
_cell_length_c 6.571
_cell_angle_alpha 90.00
_cell_angle_beta 90.00
_cell_angle_gamma 90.00
_symmetry_space_group_name_H-M 'I m a 2'
_symmetry_Int_Tables_number 46
_symmetry_space_group_name_Hall 'I 2 -2a'
loop_
_atom_site_label
_atom_site_type_symbol
_atom_site_fract_x
_atom_site_fract_y
_atom_site_fract_z
Cs1 Cs 0.250 0.163 0.000
Ge1 Ge 0.250 0.531 0.216
I1 I 0.250 0.670 0.990
# Energy relative to the lowest polymorph listed for this composition, meV/atom: 5
# Formation energy without anion corrections, eV per formula unit: -1.85



# CsGe2I PBE optimized geometry
data_CsGe2I
_chemical_formula_sum 'Cs4 Ge8 I4'
_cell_length_a 8.024
_cell_length_b 8.024
_cell_length_c 8.024
_cell_angle_alpha 90.00
_cell_angle_beta 90.00
_cell_angle_gamma 90.00
_symmetry_space_group_name_H-M 'F m -3 m'
_symmetry_Int_Tables_number 225
_symmetry_space_group_name_Hall '-F 4 2 3'
loop_
_atom_site_label
_atom_site_type_symbol
_atom_site_fract_x
_atom_site_fract_y
_atom_site_fract_z
Cs1 Cs 0.000 0.000 0.000
Ge1 Ge 0.250 0.250 0.250
I1 I 0.000 0.000 0.500
# Fermi-level density of states, states/eV/f.u.: 5.4
# Formation energy without anion corrections, eV per formula unit: 2.30



# CsGeI PBE optimized geometry
data_CsGeI
_chemical_formula_sum 'Cs2 Ge2 I2'
_cell_length_a 3.969
_cell_length_b 5.369
_cell_length_c 11.564
_cell_angle_alpha 90.00
_cell_angle_beta 90.00
_cell_angle_gamma 90.00
_symmetry_space_group_name_H-M 'A m m 2'
_symmetry_Int_Tables_number 38
_symmetry_space_group_name_Hall 'A 2 -2'
loop_
_atom_site_label
_atom_site_type_symbol
_atom_site_fract_x
_atom_site_fract_y
_atom_site_fract_z
Cs1 Cs 0.000 0.000 0.000
Ge1 Ge 0.500 0.000 0.703
I1 I 0.500 0.000 0.302
# Fermi-level density of states, states/eV/f.u.: 2.3
# Energy relative to the lowest polymorph listed for this composition, meV/atom: 432
# Formation energy without anion corrections, eV per formula unit: -0.57



# Cs3Ge2I6 PBE optimized geometry
data_Cs3Ge2I6
_chemical_formula_sum 'Cs6 Ge4 I12'
_cell_length_a 6.166
_cell_length_b 6.166
_cell_length_c 29.249
_cell_angle_alpha 90.00
_cell_angle_beta 90.00
_cell_angle_gamma 90.00
_symmetry_space_group_name_H-M 'I 4/m m m'
_symmetry_Int_Tables_number 139
_symmetry_space_group_name_Hall '-I 4 2'
loop_
_atom_site_label
_atom_site_type_symbol
_atom_site_fract_x
_atom_site_fract_y
_atom_site_fract_z
Cs1 Cs 0.000 0.000 0.000
Cs2 Cs 0.000 0.000 0.172
Ge1 Ge 0.000 0.000 0.403
I1 I 0.000 0.000 0.308
I2 I 0.000 0.500 0.088
# Fermi-level density of states, states/eV/f.u.: 3.4
# Formation energy without anion corrections, eV per formula unit: -9.67



# CsGe3I12 PBE optimized geometry
data_CsGe3I12
_chemical_formula_sum 'Cs6 Ge18 I72'
_cell_length_a 13.4488
_cell_length_b 13.4488
_cell_length_c 38.3916
_cell_angle_alpha 90.00
_cell_angle_beta 90.00
_cell_angle_gamma 120.00
_symmetry_space_group_name_H-M 'R 3 c'
_symmetry_Int_Tables_number 161
_symmetry_space_group_name_Hall 'R 3 -2"c'
loop_
_atom_site_label
_atom_site_type_symbol
_atom_site_fract_x
_atom_site_fract_y
_atom_site_fract_z
Cs1 Cs 0.0000 0.0000 0.0000
Ge1 Ge 0.0042 0.3559 0.2738
I1 I 0.0124 0.4564 0.3327
I2 I 0.0278 0.4940 0.2228
I3 I 0.0331 0.5047 0.4393
I4 I 0.0361 0.5046 0.1022
# Fermi-level density of states, states/eV/f.u.: 6.7
# Formation energy without anion corrections, eV per formula unit: -6.52



# CsGe3I PBE optimized geometry
data_CsGe3I
_chemical_formula_sum 'Cs1 Ge3 I1'
_cell_length_a 5.701
_cell_length_b 5.701
_cell_length_c 5.701
_cell_angle_alpha 90.00
_cell_angle_beta 90.00
_cell_angle_gamma 90.00
_symmetry_space_group_name_H-M 'P m -3 m'
_symmetry_Int_Tables_number 221
_symmetry_space_group_name_Hall '-P 4 2 3'
loop_
_atom_site_label
_atom_site_type_symbol
_atom_site_fract_x
_atom_site_fract_y
_atom_site_fract_z
Cs1 Cs 0.000 0.000 0.000
Ge1 Ge 0.000 0.500 0.500
I1 I 0.500 0.500 0.500
# Fermi-level density of states, states/eV/f.u.: 2.8
# Energy relative to the lowest polymorph listed for this composition, meV/atom: 0
# Formation energy without anion corrections, eV per formula unit: 4.07